Entry 1:
A relaxed structure of GePtO. Source: Alexandria via LeMat-Bulk, functional GGA-PBE.

Unit cell a=3.711 b=3.711 c=4.162 alpha=116.48 beta=116.48 gamma=90.00
Atoms (fractional coordinates):
Ge 0.323 0.323 0.645
O 0.603 0.603 0.205
Pt 0.925 0.925 0.849

Results
Raw formation energy (meV/atom): -165.2
Mass density (g cm⁻³): 10.590
Calculated volume (A^3/atom): 14.83
Final energy (eV per atom): -5.371

Entry 2:
A relaxed structure of GePtO. Source: Alexandria via LeMat-Bulk, functional GGA-PBE.

Unit cell a=3.701 b=6.842 c=5.288 alpha=49.45 beta=69.52 gamma=74.31
Atoms (fractional coordinates):
O 0.395 0.394 0.817
O 0.605 0.606 0.183
Pt 0.139 0.977 0.746
Pt 0.861 0.023 0.254
Ge 0.586 0.263 0.564
Ge 0.414 0.737 0.436

Results
Raw formation energy (meV/atom): -695.8
Mass density (g cm⁻³): 9.904
Calculated volume (A^3/atom): 15.86
Final energy (eV per atom): -5.901